#w
Below is an optimized crystal structure of RbVTeN2, with properties calculated at the PBE-GGA level.

## Properties
N(E_F): 13.24 states/eV/cell
theoretical density: 4.3 g/cm3
space group: P4/mmm, No. 123

Unit cell a=4.171 b=4.171 c=6.465 alpha=90.00 beta=90.00 gamma=90.00
Element x y z (fractional)
N  0.000  0.500  0.000
N  0.500  0.000  0.000
Rb  0.000  0.000  0.000
Te  0.000  0.000  0.500
V  0.500  0.500  0.500

#x
Below is an optimized crystal structure of RbVTeN2, with properties calculated at the PBE-GGA level.

## Properties
N(E_F): 2.83 states/eV/cell
theoretical density: 5.1 g/cm3
space group: P4/mmm, No. 123

Unit cell a=4.231 b=4.231 c=5.363 alpha=90.00 beta=90.00 gamma=90.00
Site moments in Bohr magnetons follow the coordinates.
Element x y z (fractional)
Rb  0.500  0.500  0.500  0.04
N  0.500  0.000  0.000  0.81
N  0.000  0.500  0.000  0.81
V  0.000  0.000  0.000  -1.00
Te  0.000  0.000  0.500  0.30

Most stable: #x (next structure +2.236 eV/atom)

#w
Below is an optimized crystal structure of RbVTe2N, with properties calculated at the PBE-GGA level.

## Properties
N(E_F): 3.11 states/eV/cell
theoretical density: 5.2 g/cm3
space group: P4/mmm, No. 123

Unit cell a=5.961 b=5.961 c=3.627 alpha=90.00 beta=90.00 gamma=90.00
Site moments in Bohr magnetons follow the coordinates.
Element x y z (fractional)
Te  0.000  0.500  0.000  -0.03
Te  0.500  0.000  0.000  -0.03
N  0.000  0.000  0.500  -0.14
Rb  0.500  0.500  0.500  0.00
V  0.000  0.000  0.000  0.82

#x
Below is an optimized crystal structure of RbVTe2N, with properties calculated at the PBE-GGA level.

## Properties
N(E_F): 10.10 states/eV/cell
theoretical density: 4.3 g/cm3
space group: P4/mmm, No. 123

Unit cell a=6.013 b=4.285 c=6.013 alpha=90.00 beta=90.00 gamma=90.00
Element x y z (fractional)
N  0.000  0.500  0.000
Te  0.500  0.000  0.000
Te  0.000  0.000  0.500
V  0.500  0.500  0.500
Rb  0.000  0.000  0.000

Most stable: #w (next structure +2.403 eV/atom)

#w
Below is an optimized crystal structure of RbTe2WN, with properties calculated at the PBE-GGA level.

## Properties
N(E_F): 5.38 states/eV/cell
theoretical density: 7.1 g/cm3
space group: P4/mmm, No. 123

Unit cell a=5.705 b=5.705 c=3.890 alpha=90.00 beta=90.00 gamma=90.00
Element x y z (fractional)
N  0.000  0.000  0.500
W  0.000  0.000  0.000
Te  0.000  0.500  0.000
Te  0.500  0.000  0.000
Rb  0.500  0.500  0.500

#x
Below is an optimized crystal structure of RbTe2WN, with properties calculated at the PBE-GGA level.

## Properties
N(E_F): 3.89 states/eV/cell
theoretical density: 5.5 g/cm3
space group: P4/mmm, No. 123

Unit cell a=6.083 b=6.083 c=4.378 alpha=90.00 beta=90.00 gamma=90.00
Site moments in Bohr magnetons follow the coordinates.
Element x y z (fractional)
N  0.000  0.000  0.500  1.05
Te  0.500  0.000  0.000  -0.26
Te  0.000  0.500  0.000  -0.26
Rb  0.000  0.000  0.000  0.01
W  0.500  0.500  0.500  3.14

Most stable: #w (next structure +2.601 eV/atom)

#w
Below is an optimized crystal structure of RbYTeN2, with properties calculated at the PBE-GGA level.

## Properties
N(E_F): 2.56 states/eV/cell
theoretical density: 4.1 g/cm3
space group: P4/mmm, No. 123

Unit cell a=4.529 b=4.529 c=6.453 alpha=90.00 beta=90.00 gamma=90.00
Site moments in Bohr magnetons follow the coordinates.
Element x y z (fractional)
Rb  0.000  0.000  0.000  0.06
Te  0.000  0.000  0.500  0.04
N  0.000  0.500  0.000  0.84
N  0.500  0.000  0.000  0.84
Y  0.500  0.500  0.500  -0.13

#x
Below is an optimized crystal structure of RbYTeN2, with properties calculated at the PBE-GGA level.

## Properties
N(E_F): 2.42 states/eV/cell
theoretical density: 3.8 g/cm3
space group: P4/mmm, No. 123

Unit cell a=4.868 b=4.868 c=6.062 alpha=90.00 beta=90.00 gamma=90.00
Site moments in Bohr magnetons follow the coordinates.
Element x y z (fractional)
N  0.500  0.000  0.000  1.13
N  0.000  0.500  0.000  1.13
Y  0.000  0.000  0.000  -0.04
Te  0.000  0.000  0.500  0.28
Rb  0.500  0.500  0.500  0.01

Most stable: #x (next structure +1.290 eV/atom)